Run 1
First-principles (PBE) data for an optimized crystal structure of BaNaTeN2, as listed in Alexandria.

Unit cell a=5.291 b=5.291 c=6.977 alpha=90.00 beta=90.00 gamma=90.00
Space group P4/mmm (No. 123)
One atom of each set of equivalent atoms:
1 Ba 0.000 0.000 0.000 (multiplicity 1)
2 Na 0.500 0.500 0.500 (multiplicity 1)
3 Te 0.000 0.000 0.500 (multiplicity 1)
4 N 0.000 0.500 0.000 (multiplicity 2)

Results
magnetic moment: 4.96 μB/f.u.
N(E_F): 5.45 states/eV/cell
mass density: 2.686 g cm⁻³

---

Run 2
First-principles (PBE) data for an optimized crystal structure of BaNaTeN2, as listed in Alexandria.

Unit cell a=4.916 b=4.916 c=5.806 alpha=90.00 beta=90.00 gamma=90.00
Space group P4/mmm (No. 123)
One atom of each set of equivalent atoms:
1 Ba 0.000 0.000 0.000 (multiplicity 1)
2 Na 0.500 0.500 0.500 (multiplicity 1)
3 Te 0.500 0.500 0.000 (multiplicity 1)
4 N 0.000 0.500 0.500 (multiplicity 2)

Results
magnetic moment: 5.00 μB/f.u.
N(E_F): 2.52 states/eV/cell
mass density: 3.738 g cm⁻³

---

Q: What are the energies relative to the best structure? A: run 1 0.100; run 2 0.000, in eV/atom.

---

Run 1
First-principles (PBE) data for an optimized crystal structure of BaNbSe2N, as listed in Alexandria.

Unit cell a=5.935 b=5.935 c=4.420 alpha=90.00 beta=90.00 gamma=90.00
Space group P4/mmm (No. 123)
One atom of each set of equivalent atoms:
1 Ba 0.000 0.000 0.000 (multiplicity 1)
2 Nb 0.500 0.500 0.500 (multiplicity 1)
3 Se 0.000 0.500 0.000 (multiplicity 2)
4 N 0.000 0.000 0.500 (multiplicity 1)

Results
magnetic moment: 3.60 μB/f.u.
N(E_F): 8.55 states/eV/cell
mass density: 4.290 g cm⁻³

---

Run 2
First-principles (PBE) data for an optimized crystal structure of BaNbSe2N, as listed in Alexandria.

Unit cell a=5.333 b=5.333 c=4.045 alpha=90.00 beta=90.00 gamma=90.00
Space group P4/mmm (No. 123)
One atom of each set of equivalent atoms:
1 Ba 0.000 0.000 0.000 (multiplicity 1)
2 Nb 0.500 0.500 0.500 (multiplicity 1)
3 Se 0.000 0.500 0.500 (multiplicity 2)
4 N 0.500 0.500 0.000 (multiplicity 1)

Results
magnetic moment: 0.00 μB/f.u.
N(E_F): 1.17 states/eV/cell
mass density: 5.806 g cm⁻³

---

Q: What are the energies relative to the best structure? A: run 1 2.385; run 2 0.000, in eV/atom.